A relaxed structure of KSr4Zn, computed with PBE.

Lattice parameters (Å, degrees): 7.9386 7.9386 7.9386 60.00 60.00 60.00
Element x y z (fractional)
K 0.0000 0.0000 0.0000
Sr 0.3751 0.3751 0.3751
Zn 0.7500 0.7500 0.7500
Sr 0.3751 0.3751 0.8748
Sr 0.8748 0.3751 0.3751
Sr 0.3751 0.8748 0.3751

## Properties
Formation energy, eV/atom: 0.37

A relaxed structure of ZrOs2Br, computed with PBE.

Lattice parameters (Å, degrees): 4.6330 4.6330 4.6330 60.00 60.00 60.00
Element x y z (fractional)
Zr 0.5000 0.5000 0.5000
Os 0.2500 0.2500 0.2500
Os 0.7500 0.7500 0.7500
Br 0.0000 0.0000 0.0000

## Properties
Formation energy from raw total energies, eV per atom: 0.942
Distance to the lowest polymorph of the same formula, eV per atom: 0.8224

A relaxed structure of Ho4Er10Sc, computed with PBE.

Lattice parameters (Å, degrees): 10.0750 8.5105 8.5105 69.49 53.71 53.71
Element x y z (fractional)
Er 0.1239 0.1026 0.3221
Er 0.2265 0.3221 0.8974
Ho 0.3239 0.7448 0.6074
Er 0.4513 0.1026 0.3221
Er 0.4461 0.6779 0.1026
Er 0.8761 0.8974 0.6779
Er 0.7500 0.5000 0.5000
Ho 0.9313 0.3926 0.7448
Er 0.7735 0.6779 0.1026
Er 0.5539 0.3221 0.8974
Er 0.2500 0.5000 0.5000
Ho 0.0687 0.6074 0.2552
Sc 0.0000 0.0000 0.0000
Ho 0.6761 0.2552 0.3926
Er 0.5487 0.8974 0.6779

## Properties
Formation energy, eV/atom: 0.39

A relaxed structure of BaSi2Ag6, computed with PBE.

Lattice parameters (Å, degrees): 4.6110 4.6110 8.6193 90.00 90.00 90.00
Element x y z (fractional)
Ag 0.5000 0.5000 0.5000
Ag 0.0000 0.5000 0.2956
Ba 0.0000 0.0000 0.0000
Si 0.5000 0.5000 0.8554
Si 0.5000 0.5000 0.1446
Ag 0.5000 0.0000 0.7044
Ag 0.0000 0.5000 0.7044
Ag 0.5000 0.0000 0.2956
Ag 0.0000 0.0000 0.5000

## Properties
Formation energy from raw total energies, eV per atom: -0.106